Record 1
# Mg5Re3

A relaxed Mg5Re3 crystal (PBE, Alexandria via LeMat-Bulk).

CIF file:
```
data_Mg5Re3
_space_group_name_H-M_alt 'P 1'
_space_group_IT_number 1
_cell_length_a 11.6463
_cell_length_b 11.6463
_cell_length_c 6.5628
_cell_angle_alpha 90.00
_cell_angle_beta 90.00
_cell_angle_gamma 158.68
loop_
_space_group_symop_operation_xyz
'x,y,z'
loop_
_atom_site_label
_atom_site_fract_x
_atom_site_fract_y
_atom_site_fract_z
Mg1 0.0000 0.0000 0.0000
Mg2 0.0988 0.8962 0.7434
Mg3 0.1001 0.8969 0.3022
Mg4 0.3048 0.6908 0.5105
Mg5 0.3425 0.6532 0.0062
Mg6 0.4996 0.4996 0.2819
Mg7 0.6532 0.3425 0.0062
Mg8 0.6908 0.3048 0.5105
Mg9 0.8962 0.0988 0.7434
Mg10 0.8969 0.1001 0.3022
Re1 0.9997 0.9997 0.5397
Re2 0.2184 0.7772 0.1945
Re3 0.2192 0.7765 0.8224
Re4 0.4998 0.4998 0.7236
Re5 0.7772 0.2184 0.1945
Re6 0.7765 0.2192 0.8224
```

---

Record 2
# MgRe8

A relaxed MgRe8 crystal (PBE, Alexandria via LeMat-Bulk).

CIF file:
```
data_MgRe8
_space_group_name_H-M_alt 'P 1'
_space_group_IT_number 1
_cell_length_a 6.2257
_cell_length_b 6.2257
_cell_length_c 6.2257
_cell_angle_alpha 95.84
_cell_angle_beta 95.84
_cell_angle_gamma 142.78
loop_
_space_group_symop_operation_xyz
'x,y,z'
loop_
_atom_site_label
_atom_site_fract_x
_atom_site_fract_y
_atom_site_fract_z
Mg1 0.0000 0.0000 0.0000
Re1 0.0000 0.3418 0.3418
Re2 0.0000 0.6582 0.6582
Re3 0.3243 0.3243 0.6485
Re4 0.3243 0.6757 0.0000
Re5 0.3418 0.0000 0.3418
Re6 0.6582 0.0000 0.6582
Re7 0.6757 0.3243 0.0000
Re8 0.6757 0.6757 0.3515
```

---

Record 3
# Mg2Re

A relaxed Mg2Re crystal (PBE, Alexandria via LeMat-Bulk).

CIF file:
```
data_Mg2Re
_space_group_name_H-M_alt 'P 1'
_space_group_IT_number 1
_cell_length_a 7.2185
_cell_length_b 7.2315
_cell_length_c 2.6223
_cell_angle_alpha 90.00
_cell_angle_beta 90.00
_cell_angle_gamma 90.00
loop_
_space_group_symop_operation_xyz
'x,y,z'
loop_
_atom_site_label
_atom_site_fract_x
_atom_site_fract_y
_atom_site_fract_z
Mg1 0.2407 0.2398 0.0000
Mg2 0.2593 0.7398 0.5000
Mg3 0.7407 0.2602 0.5000
Mg4 0.7593 0.7602 0.0000
Re1 0.0000 0.0000 0.5000
Re2 0.5000 0.5000 0.0000
```

---

| no. | DFT total energy (eV/atom) |
| --- | --- |
| 1 | -5.336 |
| 2 | -11.089 |
| 3 | -4.552 |